First-principles (meta-GGA SCAN) data for a PBEsol-optimized structure of SrIn2Au, as listed in Alexandria via LeMat-Bulk.

a b c (Å): 5.132 5.132 7.343
angles (deg): 90.00 90.00 90.00
Sites, in units of the cell vectors:
Sr 0.000 0.000 0.000
Sr 0.500 0.500 0.500
In 0.000 0.000 0.500
In 0.000 0.500 0.750
In 0.500 0.000 0.250
In 0.500 0.500 0.000
Au 0.000 0.500 0.250
Au 0.500 0.000 0.750

## Properties
Crystal system: tetragonal
Energy of formation in eV per atom: -0.46
D(E_F) in states/eV per cell: 3.0
Magnetic moment in μB per formula unit: 0.00
SG: I-4m2 (119)